DFT (PBE with a Hubbard U) results for a relaxed structure of Ca2CoPbO4.

```
Ca2CoPbO4
1.0
1.724 -5.832 0.000
1.724 5.832 0.000
0.000 0.000 11.710
Ca Co Pb O
4 2 2 8
Cartesian
1.724 4.337 6.354
1.724 4.337 11.210
1.724 -4.337 0.499
1.724 -4.337 5.355
1.724 1.776 2.927
1.724 -1.776 8.782
1.724 1.348 8.782
1.724 -1.348 2.927
1.724 5.059 8.782
1.724 3.034 1.417
1.724 3.034 4.438
1.724 0.000 0.000
1.724 0.000 5.855
1.724 -3.034 7.272
1.724 -3.034 10.292
1.724 -5.059 2.927
```


DFT (PBE with a Hubbard U) results for a relaxed structure of Ca2CoPdO5.

```
Ca2CoPdO5
1.0
1.615 -6.753 0.000
1.615 6.753 0.000
0.000 0.000 10.166
Ca Co Pd O
4 2 2 10
Cartesian
1.615 5.517 5.083
1.615 4.987 1.382
1.615 -4.987 6.465
1.615 -5.517 0.000
1.615 0.517 2.955
1.615 -0.517 8.038
1.615 3.714 8.771
1.615 -3.714 3.688
1.615 5.745 9.010
1.615 3.170 5.028
1.615 2.797 2.421
1.615 1.639 8.420
1.615 0.020 1.125
1.615 -0.020 6.209
1.615 -1.639 3.337
1.615 -2.797 7.504
1.615 -3.170 10.111
1.615 -5.745 3.927
```


DFT (PBE with a Hubbard U) results for a relaxed structure of CaPmCoO4.

```
CaPmCoO4
1.0
-1.870 1.870 5.978
1.870 -1.870 5.978
1.870 1.870 -5.978
Ca Pm Co O
1 1 1 4
Cartesian
0.000 0.000 0.000
0.000 0.000 3.349
0.000 0.000 7.568
1.870 0.000 1.753
0.000 0.000 5.649
0.000 1.870 1.753
0.000 0.000 9.648
```


Raw total energy: -96.00, -108.62, -48.38 (eV/cell)